Entry 1:
Below is a relaxed Pm4Nd5Er2 crystal, with properties calculated at the PBE level.

For the energy above the most stable polymorph in this dataset, the calculation gives 152 meV/atom. As for the crystal system: orthorhombic. The value obtained for the density of states at the Fermi level is 33.555 states/eV per cell. The theoretical density is 6.967 g cm⁻³. Its volume is 35.44 Å³ per atom. The calculation puts the total DFT energy (no corrections) at -4.497 eV per atom.

The structure belongs to space group Immm (No. 71); the cell edges are 3.536, 9.426 and 23.395 Å and the angles 90.00°, 90.00° and 90.00°. The asymmetric unit holds Pm at (0.000, 0.000, 0.096), Pm at (0.000, 0.300, 0.500), Nd at (0.000, 0.206, 0.349), Nd at (0.000, 0.500, 0.000) and Er at (0.000, 0.000, 0.230).



Entry 2:
Below is a relaxed PmNdEr6 crystal, with properties calculated at the PBE level.

For the energy above the most stable polymorph in this dataset, the calculation gives 122 meV/atom. As for the crystal system: monoclinic. The value obtained for the density of states at the Fermi level is 23.332 states/eV per cell. The theoretical density is 7.684 g cm⁻³. Its volume is 34.92 Å³ per atom. The calculation puts the total DFT energy (no corrections) at -4.241 eV per atom.

The structure belongs to space group C2/m (No. 12); the cell edges are 10.146, 6.705 and 8.498 Å and the angles 90.00°, 104.87° and 90.00°. The asymmetric unit holds Pm at (0.000, 0.000, 0.000), Nd at (0.000, 0.000, 0.500), Er at (0.125, 0.500, 0.423) and Er at (0.198, 0.259, 0.799).



Entry 3:
Below is a relaxed PmNd5Er3 crystal, with properties calculated at the PBE level.

For the energy above the most stable polymorph in this dataset, the calculation gives 7 meV/atom. As for the crystal system: tetragonal. The value obtained for the density of states at the Fermi level is 45.156 states/eV per cell. The theoretical density is 7.301 g cm⁻³. Its volume is 34.57 Å³ per atom. The calculation puts the total DFT energy (no corrections) at -4.410 eV per atom.

The structure belongs to space group I4/mcm (No. 140); the cell edges are 8.057, 8.057 and 19.172 Å and the angles 90.00°, 90.00° and 90.00°. The asymmetric unit holds Pm at (0.000, 0.500, 0.250), Nd at (0.000, 0.000, 0.000), Nd at (0.204, 0.296, 0.133), Er at (0.000, 0.000, 0.250) and Er at (0.129, 0.371, 0.500).



Entry 4:
Below is a relaxed PmNd4Er15 crystal, with properties calculated at the PBE level.

As for the crystal system: tetragonal. The value obtained for the density of states at the Fermi level is 27.582 states/eV per cell. The theoretical density is 8.482 g cm⁻³. Its volume is 31.63 Å³ per atom. The calculation puts the total DFT energy (no corrections) at -4.590 eV per atom.

The structure belongs to space group P4/mmm (No. 123); the cell edges are 5.028, 5.028 and 25.015 Å and the angles 90.00°, 90.00° and 90.00°. The asymmetric unit holds Pm at (0.000, 0.000, 0.000), Nd at (0.000, 0.000, 0.200), Nd at (0.000, 0.000, 0.400), Er at (0.000, 0.500, 0.100), Er at (0.000, 0.500, 0.300), Er at (0.000, 0.500, 0.500), Er at (0.500, 0.500, 0.000), Er at (0.500, 0.500, 0.200) and Er at (0.500, 0.500, 0.400).



- Which formula does entry 4 have?
  PmNd4Er15